Entry 1:
First-principles (SCAN) data for a crystal of ReRh relaxed with PBEsol, as listed in the Alexandria database.

Computed properties:
total magnetization = 0.00 μB/f.u.
electronic total energy = -840.62 eV/cell
formation enthalpy at 0 K = -0.104 eV per atom
calculated volume = 13.95 Å³/atom

Structure (CIF):
```
data_ReRh
_cell_length_a 3.846
_cell_length_b 3.878
_cell_length_c 14.965
_cell_angle_alpha 90.00
_cell_angle_beta 90.00
_cell_angle_gamma 90.00
_symmetry_space_group_name_H-M 'I m m a'
_symmetry_Int_Tables_number 74
_symmetry_space_group_name_Hall '-I 2b 2'
loop_
_atom_site_label
_atom_site_type_symbol
_atom_site_fract_x
_atom_site_fract_y
_atom_site_fract_z
Re1 Re 0.000 0.250 0.060
Re2 Re 0.000 0.250 0.316
Rh1 Rh 0.000 0.250 0.565
Rh2 Rh 0.000 0.250 0.810
```

Entry 2:
First-principles (SCAN) data for a crystal of YTl relaxed with PBEsol, as listed in the Alexandria database.

Computed properties:
total magnetization = 0.00 μB/f.u.
electronic total energy = -404.92 eV/cell
formation enthalpy at 0 K = -0.514 eV per atom
calculated volume = 26.39 Å³/atom

Structure (CIF):
```
data_YTl
_cell_length_a 4.434
_cell_length_b 4.434
_cell_length_c 10.740
_cell_angle_alpha 90.00
_cell_angle_beta 90.00
_cell_angle_gamma 90.00
_symmetry_space_group_name_H-M 'I 41/a m d'
_symmetry_Int_Tables_number 141
loop_
_symmetry_equiv_pos_as_xyz
'x,y,z'
'-x,-y,-z'
'-y+1/4,x+3/4,z+1/4'
'y+1/4,-x+3/4,-z+1/4'
'-x+1/2,-y,z+1/2'
'x+1/2,y,-z+1/2'
'y+1/4,-x+1/4,z+3/4'
'-y+1/4,x+1/4,-z+3/4'
'x,-y,-z'
'-x,y,z'
'-y+1/4,-x+1/4,-z+3/4'
'y+1/4,x+1/4,z+3/4'
'-x+1/2,y,-z+1/2'
'x+1/2,-y,z+1/2'
'y+1/4,x+3/4,-z+1/4'
'-y+1/4,-x+3/4,z+1/4'
'x+1/2,y+1/2,z+1/2'
'-x+1/2,-y+1/2,-z+1/2'
'-y+3/4,x+1/4,z+3/4'
'y+3/4,-x+1/4,-z+3/4'
'-x,-y+1/2,z'
'x,y+1/2,-z'
'y+3/4,-x+3/4,z+1/4'
'-y+3/4,x+3/4,-z+1/4'
'x+1/2,-y+1/2,-z+1/2'
'-x+1/2,y+1/2,z+1/2'
'-y+3/4,-x+3/4,-z+1/4'
'y+3/4,x+3/4,z+1/4'
'-x,y+1/2,-z'
'x,-y+1/2,z'
'y+3/4,x+1/4,-z+3/4'
'-y+3/4,-x+1/4,z+3/4'
loop_
_atom_site_label
_atom_site_type_symbol
_atom_site_fract_x
_atom_site_fract_y
_atom_site_fract_z
Y1 Y 0.000 0.250 0.375
Tl1 Tl 0.000 0.250 0.875
```

Entry 3:
First-principles (SCAN) data for a crystal of Zr2InC relaxed with PBEsol, as listed in the Alexandria database.

Computed properties:
total magnetization = 0.00 μB/f.u.
electronic total energy = -407.66 eV/cell
formation enthalpy at 0 K = 0.742 eV per atom
calculated volume = 17.44 Å³/atom

Structure (CIF):
```
data_Zr2InC
_cell_length_a 6.535
_cell_length_b 6.535
_cell_length_c 6.535
_cell_angle_alpha 90.00
_cell_angle_beta 90.00
_cell_angle_gamma 90.00
_symmetry_space_group_name_H-M 'F m -3 m'
_symmetry_Int_Tables_number 225
_symmetry_space_group_name_Hall '-F 4 2 3'
loop_
_atom_site_label
_atom_site_type_symbol
_atom_site_fract_x
_atom_site_fract_y
_atom_site_fract_z
Zr1 Zr 0.250 0.250 0.250
In1 In 0.000 0.000 0.000
C1 C 0.000 0.000 0.500
```